DFT (PBE) results for a geometry-optimized CsYSn2 structure.

## Properties
VASP energy in eV/atom: -4.28
Energy relative to the elements in meV/atom: -445
Density in Mg/m³: 5.29
DOS at the Fermi energy in states/eV/cell: 1.44

```
CsYSn2
1.0
4.1215 0.0000 0.0000
0.0000 4.1215 0.0000
0.0000 0.0000 8.4880
Cs Y Sn
1 1 2
Cartesian
0.0000 0.0000 0.0000
0.0000 0.0000 4.2440
2.0607 2.0607 2.7874
2.0607 2.0607 5.7006
```

***

DFT (PBE) results for a geometry-optimized MnAgBr3 structure.

## Properties
VASP energy in eV/atom: -3.69
Formation energy (no corrections) in kJ per mole of atoms: -27.3
Density in Mg/m³: 4.65
DOS at the Fermi energy in states/eV/cell: 0.72

```
MnAgBr3
1.0
5.2392 0.0000 0.0000
0.0000 5.2392 0.0000
0.0000 0.0000 5.2392
Mn Ag Br
1 1 3
Cartesian
0.0000 0.0000 0.0000
2.6196 2.6196 2.6196
0.0000 0.0000 2.6196
0.0000 2.6196 0.0000
2.6196 0.0000 0.0000
```

***

DFT (PBE) results for a geometry-optimized PmPr4Bi2 structure.

## Properties
VASP energy in eV/atom: -4.37
Energy relative to the elements in meV/atom: 145
Density in Mg/m³: 7.04
DOS at the Fermi energy in states/eV/cell: 7.97

```
PmPr4Bi2
1.0
-2.7666 2.7666 8.6832
2.7666 -2.7666 8.6832
2.7666 2.7666 -8.6832
Pm Pr Bi
1 4 2
Cartesian
0.0000 0.0000 0.0000
2.7666 0.0000 0.0000
0.0000 0.0000 3.1554
0.0000 2.7666 0.0000
0.0000 0.0000 14.2110
0.0000 0.0000 6.3504
0.0000 0.0000 11.0160
```